No. 1
# UVW | the Alexandria database | GGA-PBE | relaxed
# **Total moment**: 4.0 μB/cell
# **Space group**: No. 107
# **DOS at the Fermi energy**: 14.12 states/eV per cell
# **Energy above the most stable polymorph in this dataset**: 0.000 eV/atom
data_UVW
_chemical_formula_sum 'U2 V2 W2'
_space_group_name_H-M_alt 'P 1'
_space_group_IT_number 1
_space_group_name_Hall 'P 1'
_cell_length_a 3.077
_cell_length_b 3.077
_cell_length_c 11.189
_cell_angle_alpha 90.00
_cell_angle_beta 90.00
_cell_angle_gamma 90.00
loop_
_atom_site_label
_atom_site_fract_x
_atom_site_fract_y
_atom_site_fract_z
_atom_site_occupancy
U1 0.000 0.000 0.000 1
U2 0.500 0.500 0.500 1
V1 0.000 0.000 0.685 1
V2 0.500 0.500 0.185 1
W1 0.000 0.000 0.312 1
W2 0.500 0.500 0.812 1

No. 2
# UVW | the Alexandria database | GGA-PBE | relaxed
# **Total moment**: 0.1 μB/cell
# **Space group**: No. 51
# **DOS at the Fermi energy**: 10.82 states/eV per cell
# **Energy above the most stable polymorph in this dataset**: 0.092 eV/atom
data_UVW
_chemical_formula_sum 'U2 V2 W2'
_space_group_name_H-M_alt 'P 1'
_space_group_IT_number 1
_space_group_name_Hall 'P 1'
_cell_length_a 5.090
_cell_length_b 2.675
_cell_length_c 7.521
_cell_angle_alpha 90.00
_cell_angle_beta 90.00
_cell_angle_gamma 90.00
loop_
_atom_site_label
_atom_site_fract_x
_atom_site_fract_y
_atom_site_fract_z
_atom_site_occupancy
U1 0.000 0.000 0.000 1
U2 0.500 0.000 0.000 1
V1 0.250 0.000 0.342 1
V2 0.750 0.000 0.658 1
W1 0.250 0.500 0.645 1
W2 0.750 0.500 0.355 1

No. 3
# U2VW | the Alexandria database | GGA-PBE | relaxed
# **Total moment**: 0.0 μB/cell
# **Space group**: No. 123
# **DOS at the Fermi energy**: 7.14 states/eV per cell
# **Energy above the most stable polymorph in this dataset**: 0.000 eV/atom
data_U2VW
_chemical_formula_sum 'U2 V1 W1'
_space_group_name_H-M_alt 'P 1'
_space_group_IT_number 1
_space_group_name_Hall 'P 1'
_cell_length_a 3.636
_cell_length_b 3.636
_cell_length_c 5.776
_cell_angle_alpha 90.00
_cell_angle_beta 90.00
_cell_angle_gamma 90.00
loop_
_atom_site_label
_atom_site_fract_x
_atom_site_fract_y
_atom_site_fract_z
_atom_site_occupancy
U1 0.000 0.000 0.216 1
U2 0.000 0.000 0.784 1
V1 0.500 0.500 0.000 1
W1 0.500 0.500 0.500 1

No. 4
# UVW | the Alexandria database | GGA-PBE | relaxed
# **Total moment**: 0.1 μB/cell
# **Space group**: No. 156
# **DOS at the Fermi energy**: 6.81 states/eV per cell
# **Energy above the most stable polymorph in this dataset**: 0.103 eV/atom
data_UVW
_chemical_formula_sum 'U1 V1 W1'
_space_group_name_H-M_alt 'P 1'
_space_group_IT_number 1
_space_group_name_Hall 'P 1'
_cell_length_a 2.957
_cell_length_b 2.957
_cell_length_c 6.917
_cell_angle_alpha 90.00
_cell_angle_beta 90.00
_cell_angle_gamma 120.00
loop_
_atom_site_label
_atom_site_fract_x
_atom_site_fract_y
_atom_site_fract_z
_atom_site_occupancy
U1 0.000 0.000 0.000 1
V1 0.333 0.667 0.644 1
W1 0.667 0.333 0.369 1

No. 5
# UVZn | the Alexandria database | GGA-PBE | relaxed
# **Total moment**: 0.6 μB/cell
# **Space group**: No. 69
# **DOS at the Fermi energy**: 8.28 states/eV per cell
# **Energy above the most stable polymorph in this dataset**: 0.411 eV/atom
data_UVZn
_chemical_formula_sum 'U2 V2 Zn2'
_space_group_name_H-M_alt 'P 1'
_space_group_IT_number 1
_space_group_name_Hall 'P 1'
_cell_length_a 6.902
_cell_length_b 6.346
_cell_length_c 4.423
_cell_angle_alpha 77.44
_cell_angle_beta 63.84
_cell_angle_gamma 38.72
loop_
_atom_site_label
_atom_site_fract_x
_atom_site_fract_y
_atom_site_fract_z
_atom_site_occupancy
U1 0.250 0.250 0.250 1
U2 0.750 0.750 0.750 1
V1 0.104 0.104 0.896 1
V2 0.896 0.896 0.104 1
Zn1 0.332 0.668 0.332 1
Zn2 0.668 0.332 0.668 1

No. 6
# UVZn | the Alexandria database | GGA-PBE | relaxed
# **Total moment**: 1.5 μB/cell
# **Space group**: No. 107
# **DOS at the Fermi energy**: 11.53 states/eV per cell
# **Energy above the most stable polymorph in this dataset**: 0.000 eV/atom
data_UVZn
_chemical_formula_sum 'U2 V2 Zn2'
_space_group_name_H-M_alt 'P 1'
_space_group_IT_number 1
_space_group_name_Hall 'P 1'
_cell_length_a 2.678
_cell_length_b 2.678
_cell_length_c 13.767
_cell_angle_alpha 90.00
_cell_angle_beta 90.00
_cell_angle_gamma 90.00
loop_
_atom_site_label
_atom_site_fract_x
_atom_site_fract_y
_atom_site_fract_z
_atom_site_occupancy
U1 0.000 0.000 0.000 1
U2 0.500 0.500 0.500 1
V1 0.000 0.000 0.324 1
V2 0.500 0.500 0.824 1
Zn1 0.000 0.000 0.681 1
Zn2 0.500 0.500 0.181 1

No. 7
# ZrUV2 | the Alexandria database | GGA-PBE | relaxed
# **Total DFT energy (no corrections)**: -37.4 eV per cell
# **Total moment**: 0.0 μB/cell
# **Space group**: No. 123
# **DOS at the Fermi energy**: 4.73 states/eV per cell
data_ZrUV2
_chemical_formula_sum 'Zr1 U1 V2'
_space_group_name_H-M_alt 'P 1'
_space_group_IT_number 1
_space_group_name_Hall 'P 1'
_cell_length_a 3.236
_cell_length_b 3.236
_cell_length_c 6.748
_cell_angle_alpha 90.00
_cell_angle_beta 90.00
_cell_angle_gamma 90.00
loop_
_atom_site_label
_atom_site_fract_x
_atom_site_fract_y
_atom_site_fract_z
_atom_site_occupancy
Zr1 0.000 0.000 0.000 1
U1 0.000 0.000 0.500 1
V1 0.500 0.500 0.285 1
V2 0.500 0.500 0.715 1

No. 8
# UW3 | the Alexandria database | GGA-PBE | relaxed
# **Total DFT energy (no corrections)**: -47.9 eV per cell
# **Total moment**: 0.0 μB/cell
# **Space group**: No. 25
# **DOS at the Fermi energy**: 6.14 states/eV per cell
data_UW3
_chemical_formula_sum 'U1 W3'
_space_group_name_H-M_alt 'P 1'
_space_group_IT_number 1
_space_group_name_Hall 'P 1'
_cell_length_a 2.705
_cell_length_b 4.809
_cell_length_c 5.455
_cell_angle_alpha 90.00
_cell_angle_beta 90.00
_cell_angle_gamma 90.00
loop_
_atom_site_label
_atom_site_fract_x
_atom_site_fract_y
_atom_site_fract_z
_atom_site_occupancy
U1 0.000 0.000 0.000 1
W1 0.000 0.500 0.321 1
W2 0.500 0.000 0.496 1
W3 0.500 0.500 0.813 1